This record from the Alexandria database describes a geometry-optimized Li2MgTe structure. The functional is PBE.

Unit cell a=4.520 b=4.520 c=6.030 alpha=74.41 beta=74.41 gamma=56.84
Positions (direct):
Li 0.968 0.968 0.076
Li 0.532 0.532 0.424
Mg 0.750 0.750 0.750
Te 0.250 0.250 0.250

## Properties
uncorrected formation energy: -0.413 eV/atom
electronic total energy: -2.554 eV per atom
V: 24.55 Å³ per atom
crystal system: monoclinic
E above lowest polymorph: 125.1 meV per atom


This record from the Alexandria database describes a geometry-optimized PaMnBr6 structure. The functional is PBE.

Unit cell a=7.003 b=7.001 c=7.503 alpha=62.18 beta=62.20 gamma=60.00
Last column: magnetic moment on the atom in μB.
Positions (direct):
Pa 0.000 0.000 0.000  1.16
Mn 0.500 0.500 0.500  4.38
Br 0.112 0.401 0.743  0.01
Br 0.743 0.112 0.744  0.01
Br 0.599 0.257 0.256  0.01
Br 0.257 0.888 0.256  0.01
Br 0.888 0.599 0.257  0.01
Br 0.401 0.743 0.744  0.01

## Properties
uncorrected formation energy: -1.154 eV/atom
electronic total energy: -4.742 eV per atom
V: 33.54 Å³ per atom
crystal system: trigonal


This record from the Alexandria database describes a geometry-optimized SrGeS2O8 structure. The functional is PBE.

Unit cell a=5.004 b=5.004 c=7.920 alpha=71.59 beta=71.59 gamma=60.00
Positions (direct):
Sr 0.500 0.500 0.500
Ge 0.000 0.000 0.000
S 0.247 0.247 0.259
S 0.753 0.753 0.741
O 0.179 0.179 0.462
O 0.539 0.292 0.195
O 0.821 0.821 0.538
O 0.974 0.539 0.195
O 0.026 0.461 0.805
O 0.292 0.974 0.195
O 0.708 0.026 0.805
O 0.461 0.708 0.805

## Properties
uncorrected formation energy: -1.686 eV/atom
electronic total energy: -6.204 eV per atom
V: 13.33 Å³ per atom
crystal system: trigonal


This record from the Alexandria database describes a geometry-optimized AgAs2Rh structure. The functional is PBE.

Unit cell a=4.585 b=4.585 c=4.585 alpha=60.00 beta=60.00 gamma=60.00
Positions (direct):
As 0.000 0.000 0.000
As 0.250 0.250 0.250
Rh 0.750 0.750 0.750
Ag 0.500 0.500 0.500

## Properties
electronic total energy: -4.547 eV per atom
V: 17.04 Å³ per atom
energy relative to the elements: 328.1 meV/atom
crystal system: cubic
E above lowest polymorph: 385.4 meV per atom


This record from the Alexandria database describes a geometry-optimized TlHgTe3Pb structure. The functional is PBE.

Unit cell a=4.580 b=8.948 c=10.385 alpha=99.40 beta=90.00 gamma=90.00
Positions (direct):
Tl 0.250 0.214 0.259
Tl 0.750 0.786 0.741
Hg 0.250 0.091 0.621
Hg 0.750 0.909 0.379
Te 0.750 0.937 0.104
Te 0.250 0.063 0.896
Te 0.250 0.765 0.476
Te 0.750 0.235 0.524
Te 0.750 0.457 0.179
Te 0.250 0.543 0.821
Pb 0.250 0.678 0.112
Pb 0.750 0.322 0.888

## Properties
uncorrected formation energy: -0.170 eV/atom
electronic total energy: -2.804 eV per atom
V: 34.99 Å³ per atom
crystal system: monoclinic


This record from the Alexandria database describes a geometry-optimized CuPt7 structure. The functional is PBE.

Unit cell a=5.574 b=5.574 c=5.574 alpha=120.00 beta=120.00 gamma=90.00
Positions (direct):
Cu 0.000 0.000 0.000
Pt 0.000 0.500 0.000
Pt 0.000 0.500 0.500
Pt 0.000 0.000 0.500
Pt 0.500 0.500 0.500
Pt 0.500 0.000 0.500
Pt 0.500 0.000 0.000
Pt 0.500 0.500 0.000

## Properties
electronic total energy: -5.880 eV per atom
V: 15.31 Å³ per atom
energy relative to the elements: -81.9 meV/atom
crystal system: cubic


This record from the Alexandria database describes a geometry-optimized Ac2CdAu2 structure. The functional is PBE.

Unit cell a=4.198 b=8.379 c=8.379 alpha=90.00 beta=90.00 gamma=90.00
Positions (direct):
Ac 0.500 0.173 0.673
Ac 0.500 0.673 0.827
Ac 0.500 0.827 0.327
Ac 0.500 0.327 0.173
Cd 0.000 0.000 0.000
Cd 0.000 0.500 0.500
Au 0.000 0.373 0.873
Au 0.000 0.873 0.627
Au 0.000 0.627 0.127
Au 0.000 0.127 0.373

## Properties
electronic total energy: -3.866 eV per atom
V: 29.47 Å³ per atom
energy relative to the elements: -729.0 meV/atom
crystal system: tetragonal


This record from the Alexandria database describes a geometry-optimized MgIrRuW structure. The functional is PBE.

Unit cell a=4.402 b=4.402 c=4.402 alpha=60.00 beta=60.00 gamma=60.00
Positions (direct):
Ru 0.750 0.750 0.750
Mg 0.500 0.500 0.500
Ir 0.250 0.250 0.250
W 0.000 0.000 0.000

## Properties
electronic total energy: -8.310 eV per atom
V: 15.08 Å³ per atom
energy relative to the elements: -138.5 meV/atom
crystal system: cubic